(1)
Here is an optimized crystal structure of Tb2PrY6Ho from Alexandria. Energies are from PBE.

SG: C2/c, No. 15
ΔE_f, eV/atom: 0.12
Total moment, μB/cell: 0.0

Cell lengths 9.634, 8.816, 8.816 Å; angles 117.47, 94.00, 94.00 degrees
Element x y z (fractional)
Tb 0.452 0.802 0.700
Tb 0.048 0.300 0.198
Tb 0.548 0.198 0.300
Tb 0.952 0.700 0.802
Pr 0.250 0.976 0.024
Pr 0.750 0.024 0.976
Y 0.057 0.122 0.749
Y 0.443 0.251 0.878
Y 0.943 0.878 0.251
Y 0.557 0.749 0.122
Y 0.317 0.985 0.434
Y 0.183 0.566 0.015
Y 0.683 0.015 0.566
Y 0.817 0.434 0.985
Y 0.117 0.706 0.490
Y 0.383 0.510 0.294
Y 0.883 0.294 0.510
Y 0.617 0.490 0.706
Ho 0.250 0.410 0.590
Ho 0.750 0.590 0.410

***

(2)
Here is an optimized crystal structure of Tb3Pr6YHo2 from Alexandria. Energies are from PBE.

SG: C2/m, No. 12
ΔE_f, eV/atom: 0.01
Total moment, μB/cell: 0.0

Cell lengths 6.318, 6.318, 11.912 Å; angles 95.06, 95.06, 120.00 degrees
Element x y z (fractional)
Tb 0.167 0.833 0.500
Tb 0.833 0.167 0.500
Tb 0.500 0.500 0.500
Pr 0.916 0.582 0.751
Pr 0.749 0.749 0.250
Pr 0.084 0.418 0.249
Pr 0.582 0.916 0.751
Pr 0.251 0.251 0.750
Pr 0.418 0.084 0.249
Y 0.000 0.000 0.000
Ho 0.333 0.667 0.000
Ho 0.667 0.333 0.000

***

(3)
Here is an optimized crystal structure of TbPrY3Ho from Alexandria. Energies are from PBE.

SG: Cmcm, No. 63
ΔE_f, eV/atom: 0.02
Total moment, μB/cell: 0.0

Cell lengths 5.070, 8.022, 10.145 Å; angles 90.00, 90.00, 108.42 degrees
Element x y z (fractional)
Tb 0.499 0.999 0.750
Tb 0.501 0.001 0.250
Pr 0.000 0.000 0.500
Pr 0.000 0.000 0.000
Y 0.667 0.335 0.500
Y 0.333 0.665 0.500
Y 0.333 0.665 0.000
Y 0.667 0.335 0.000
Y 0.167 0.334 0.750
Y 0.833 0.666 0.250
Ho 0.833 0.667 0.750
Ho 0.167 0.333 0.250

***

(4)
Here is an optimized crystal structure of TbPr2Y6Ho from Alexandria. Energies are from PBE.

SG: C2/c, No. 15
ΔE_f, eV/atom: 0.11
Total moment, μB/cell: 0.0

Cell lengths 9.840, 8.799, 8.799 Å; angles 117.73, 95.17, 95.17 degrees
Element x y z (fractional)
Tb 0.250 0.983 0.017
Tb 0.750 0.017 0.983
Pr 0.456 0.807 0.708
Pr 0.044 0.292 0.193
Pr 0.544 0.193 0.292
Pr 0.956 0.708 0.807
Y 0.057 0.122 0.743
Y 0.443 0.257 0.878
Y 0.943 0.878 0.257
Y 0.557 0.743 0.122
Y 0.313 0.980 0.424
Y 0.187 0.576 0.020
Y 0.687 0.020 0.576
Y 0.813 0.424 0.980
Y 0.118 0.704 0.496
Y 0.382 0.504 0.296
Y 0.882 0.296 0.504
Y 0.618 0.496 0.704
Ho 0.250 0.406 0.594
Ho 0.750 0.594 0.406